Computed, not measured: La3PrY6 after structural relaxation at the GGA-PBE level of DFT.

Output
Energy relative to the lowest polymorph listed for this composition (meV/atom): 0
D(E_F) (states/eV/f.u.): 16.17
E_form (eV per atom): 0.212
E (eV per atom): -5.623

```
data_La3PrY6
_cell_length_a 13.8674
_cell_length_b 14.6791
_cell_length_c 6.9141
_cell_angle_alpha 90.00
_cell_angle_beta 90.00
_cell_angle_gamma 90.00
_space_group_name_H-M_alt 'C m c 21'
_space_group_IT_number 36
_space_group_name_Hall 'C 2c -2'
loop_
_atom_site_label
_atom_site_type_symbol
_atom_site_fract_x
_atom_site_fract_y
_atom_site_fract_z
La1 La 0.0000 0.1062 0.0000
La2 La 0.2016 0.4611 0.7244
Pr1 Pr 0.0000 0.3106 0.1753
Y1 Y 0.0000 0.2852 0.6806
Y2 Y 0.0000 0.4877 0.4487
Y3 Y 0.1168 0.0988 0.5020
Y4 Y 0.2391 0.2102 0.8912
```